{"formula": "RbMg3P4O12", "functional": "GGA-PBE", "state": "relaxed", "lattice_angstrom": [[-3.4064, -5.5417, 1.2938], [5.8676, -2.3974, -1.9521], [1.3701, 2.2444, 6.0887]], "species": ["Rb", "Mg", "Mg", "Mg", "P", "P", "P", "P", "O", "O", "O", "O", "O", "O", "O", "O", "O", "O", "O", "O"], "frac_coords": [[0.0000, 0.0000, 0.0000], [0.5694, 0.4306, 0.0000], [0.4306, 0.0000, 0.5694], [0.0000, 0.5694, 0.4306], [0.9285, 0.0715, 0.5000], [0.0715, 0.5000, 0.9285], [0.5000, 0.9285, 0.0715], [0.5000, 0.5000, 0.5000], [0.5000, 0.3517, 0.6483], [0.9196, 0.5000, 0.0804], [0.0804, 0.9196, 0.5000], [0.5000, 0.0804, 0.9196], [0.4030, 0.9947, 0.2561], [0.2561, 0.4030, 0.9947], [0.9947, 0.2561, 0.4030], [0.5970, 0.7439, 0.0053], [0.0053, 0.5970, 0.7439], [0.7439, 0.0053, 0.5970], [0.6483, 0.5000, 0.3517], [0.3517, 0.6483, 0.5000]], "n_ef_per_ev_cell": 5.653, "crystal_system": "trigonal", "energy_ry_per_atom": -0.464, "vol_a3_per_atom": 13.44, "sg": "R32, No. 155"}